VASP calculation (PBE-GGA) on a geometry-optimized BaMg4Zn2 structure.

The structure in POSCAR format:
```
BaMg4Zn2
1.0
4.548 0.000 0.000
0.000 17.125 0.000
0.000 0.000 4.576
Ba Mg Zn
2 8 4
Direct
0.000 0.000 0.000
0.500 0.500 0.000
0.000 0.182 0.500
0.000 0.317 0.000
0.000 0.683 0.000
0.000 0.818 0.500
0.500 0.183 0.000
0.500 0.318 0.500
0.500 0.682 0.500
0.500 0.817 0.000
0.000 0.420 0.500
0.000 0.580 0.500
0.500 0.080 0.500
0.500 0.920 0.500
```

The calculated formation energy comes out at -0.1213 eV/atom. The total energy is -1.671 eV per atom. The crystal system is orthorhombic.